Here is a relaxed structure of RbVSn2 from Alexandria via LeMat-Bulk. Energies are from PBE.

a = 6.163 Å, b = 6.163 Å, c = 9.682 Å
α = 71.44°, β = 71.44°, γ = 90.00°
Site moments in Bohr magnetons follow the coordinates.
Atoms (fractional coordinates):
V1 0.250 0.750 0.500  1.69
V2 0.500 0.500 0.000  1.69
Sn1 0.375 0.626 0.750  -0.09
Sn2 0.376 0.625 0.250  -0.09
Sn3 0.374 0.125 0.250  -0.09
Sn4 0.875 0.624 0.750  -0.09
Rb1 0.000 0.000 0.000  0.00
Rb2 0.750 0.250 0.500  0.00

Results
For the formation enthalpy at 0 K, the calculation gives 0.363 eV per atom. The space group is I-42d. As for the energy above the most stable polymorph in this dataset: 0.000 eV/atom.


Here is a relaxed structure of RbVSn2 from Alexandria via LeMat-Bulk. Energies are from PBE.

a = 3.459 Å, b = 3.459 Å, c = 11.362 Å
α = 81.24°, β = 81.24°, γ = 60.00°
Site moments in Bohr magnetons follow the coordinates.
Atoms (fractional coordinates):
V1 0.500 0.500 0.500  2.04
Sn1 0.895 0.895 0.314  -0.02
Sn2 0.105 0.105 0.686  -0.02
Rb1 0.000 0.000 0.000  -0.01

Results
For the formation enthalpy at 0 K, the calculation gives 0.389 eV per atom. The space group is R-3m. As for the energy above the most stable polymorph in this dataset: 0.026 eV/atom.


Here is a relaxed structure of RbV2Sn from Alexandria via LeMat-Bulk. Energies are from PBE.

a = 5.469 Å, b = 5.469 Å, c = 10.328 Å
α = 74.65°, β = 74.65°, γ = 90.00°
Site moments in Bohr magnetons follow the coordinates.
Atoms (fractional coordinates):
V1 0.875 0.625 0.250  2.74
V2 0.875 0.125 0.750  2.74
V3 0.375 0.125 0.750  2.74
V4 0.875 0.125 0.250  2.74
Rb1 0.250 0.750 0.500  0.02
Rb2 0.500 0.500 0.000  0.02
Sn1 0.000 0.000 0.000  -0.18
Sn2 0.750 0.250 0.500  -0.18

Results
For the formation enthalpy at 0 K, the calculation gives 1.037 eV per atom. The space group is I4_1/amd.


Here is a relaxed structure of RbVSn from Alexandria via LeMat-Bulk. Energies are from PBE.

a = 3.504 Å, b = 4.294 Å, c = 13.550 Å
α = 105.94°, β = 97.30°, γ = 90.00°
Atoms (fractional coordinates):
Rb1 0.837 0.404 0.169
Rb2 0.163 0.596 0.831
V1 0.029 0.394 0.559
V2 0.971 0.606 0.441
Sn1 0.443 0.066 0.383
Sn2 0.557 0.934 0.617

Results
For the formation enthalpy at 0 K, the calculation gives 0.157 eV per atom. The space group is P-1.


Here is a relaxed structure of Rb2VSn from Alexandria via LeMat-Bulk. Energies are from PBE.

a = 13.537 Å, b = 13.537 Å, c = 9.926 Å
α = 47.01°, β = 47.01°, γ = 90.00°
Site moments in Bohr magnetons follow the coordinates.
Atoms (fractional coordinates):
Rb1 0.426 0.125 0.250  0.02
Rb2 0.875 0.676 0.750  0.02
Rb3 0.324 0.625 0.250  0.02
Rb4 0.375 0.574 0.750  0.02
V1 0.250 0.750 0.500  2.83
V2 0.500 0.500 0.000  2.83
Sn1 0.000 0.000 0.000  -0.03
Sn2 0.750 0.250 0.500  -0.03

Results
For the formation enthalpy at 0 K, the calculation gives 0.595 eV per atom. The space group is I-42d.


Here is a relaxed structure of Rb2VSn4 from Alexandria via LeMat-Bulk. Energies are from PBE.

a = 5.211 Å, b = 5.211 Å, c = 10.275 Å
α = 75.31°, β = 75.31°, γ = 90.00°
Atoms (fractional coordinates):
Sn1 0.500 0.000 0.000
Sn2 0.134 0.134 0.732
Sn3 0.000 0.500 0.000
Sn4 0.866 0.866 0.268
Rb1 0.665 0.665 0.671
Rb2 0.335 0.335 0.329
V1 0.000 0.000 0.000

Results
For the formation enthalpy at 0 K, the calculation gives 0.030 eV per atom. The space group is I4/mmm.